#i
First-principles (PBE) data for a relaxed structure of IrRh3Br, as listed in Alexandria. Values from VASP.

```
&SYSTEM
  ibrav = 0, nat = 5, ntyp = 3
/
ATOMIC_SPECIES
Ir 192.22 Ir.upf
Rh 102.91 Rh.upf
Br 79.90 Br.upf
ATOMIC_POSITIONS angstrom
Ir 0.0000 0.0000 0.0000
Rh 1.5550 0.8856 -1.5861
Rh 1.7527 -1.2800 1.0037
Rh -0.4773 -1.8153 -1.4816
Br 2.8304 -2.2097 -2.0640
CELL_PARAMETERS angstrom
-0.9547 -3.6305 -2.9631
3.1100 1.7712 -3.1722
3.5055 -2.5601 2.0073
```

Total moment = 0.000 μB/atom
Mass density = 8.82 Mg/m³
Fermi-level density of states = 11.08 states/eV/f.u.
Space group = Pm-3m

---

#ii
First-principles (PBE) data for a relaxed structure of IrRh3Br, as listed in Alexandria. Values from VASP.

```
&SYSTEM
  ibrav = 0, nat = 5, ntyp = 3
/
ATOMIC_SPECIES
Ir 192.22 Ir.upf
Rh 102.91 Rh.upf
Br 79.90 Br.upf
ATOMIC_POSITIONS angstrom
Ir 0.8059 -3.7511 -0.8023
Rh -0.0328 -0.9313 -2.0623
Rh 1.9635 -1.0369 0.4370
Rh -1.1248 -1.7830 0.8230
Br 0.0000 0.0000 0.0000
CELL_PARAMETERS angstrom
-2.2495 -3.5659 1.6460
-0.0656 -1.8625 -4.1246
3.9269 -2.0739 0.8740
```

Total moment = 0.417 μB/atom
Mass density = 10.40 Mg/m³
Fermi-level density of states = 7.81 states/eV/f.u.
Space group = Pm-3m

---

Which structure is most stable? #i, by 149 meV/atom over the runner-up.

---

#i
First-principles (PBE) data for a relaxed structure of IrRuBr2, as listed in Alexandria. Values from VASP.

```
&SYSTEM
  ibrav = 0, nat = 4, ntyp = 3
/
ATOMIC_SPECIES
Ru 101.07 Ru.upf
Ir 192.22 Ir.upf
Br 79.90 Br.upf
ATOMIC_POSITIONS angstrom
Ru 0.0000 0.0000 12.8485
Ir 0.0000 0.0000 0.0000
Br 0.0000 0.0000 23.2678
Br 0.0000 0.0000 2.4292
CELL_PARAMETERS angstrom
1.8464 0.0000 8.5657
-0.9232 1.5990 8.5657
-0.9232 -1.5990 8.5657
```

Total moment = 0.260 μB/atom
Mass density = 9.92 Mg/m³
Fermi-level density of states = 4.15 states/eV/f.u.
Space group = R-3m

---

#ii
First-principles (PBE) data for a relaxed structure of IrRuBr2, as listed in Alexandria. Values from VASP.

```
&SYSTEM
  ibrav = 0, nat = 4, ntyp = 3
/
ATOMIC_SPECIES
Ru 101.07 Ru.upf
Ir 192.22 Ir.upf
Br 79.90 Br.upf
ATOMIC_POSITIONS angstrom
Ru -2.5011 0.0253 -0.8829
Ir -1.3461 2.8470 -1.6045
Br -0.0588 0.0039 -0.0787
Br -2.5767 0.1727 -3.4490
CELL_PARAMETERS angstrom
-1.4804 2.9983 -4.2493
-3.7905 -2.6450 -2.8061
1.4238 2.5190 4.5679
```

Total moment = 0.000 μB/atom
Mass density = 10.46 Mg/m³
Fermi-level density of states = 4.86 states/eV/f.u.
Space group = Immm

---

Which structure is most stable? #i, by 126 meV/atom over the runner-up.

---

#i
First-principles (PBE) data for a relaxed structure of IrRuBr2, as listed in Alexandria. Values from VASP.

```
&SYSTEM
  ibrav = 0, nat = 4, ntyp = 3
/
ATOMIC_SPECIES
Ru 101.07 Ru.upf
Ir 192.22 Ir.upf
Br 79.90 Br.upf
ATOMIC_POSITIONS angstrom
Ru 1.5235 1.5601 6.2610
Ir 0.0000 0.0000 4.7936
Br 0.0000 0.0000 8.0753
Br 1.5235 1.5601 2.9106
CELL_PARAMETERS angstrom
3.0839 0.0364 0.0000
-0.0369 3.0839 0.0000
0.0000 0.0000 8.8162
```

Total moment = 0.175 μB/atom
Mass density = 8.97 Mg/m³
Fermi-level density of states = 3.39 states/eV/f.u.
Space group = P4mm

---

#ii
First-principles (PBE) data for a relaxed structure of IrRuBr2, as listed in Alexandria. Values from VASP.

```
&SYSTEM
  ibrav = 0, nat = 4, ntyp = 3
/
ATOMIC_SPECIES
Ru 101.07 Ru.upf
Ir 192.22 Ir.upf
Br 79.90 Br.upf
ATOMIC_POSITIONS angstrom
Ru 1.9204 -4.8160 -3.2603
Ir 0.4495 -5.5933 -4.9804
Br 0.0185 -0.2298 -0.2046
Br -0.4143 -4.0827 -1.8038
CELL_PARAMETERS angstrom
-1.6995 -7.1704 -5.5810
2.7718 -6.1718 -6.2990
0.3656 5.2914 7.5708
```

Total moment = 0.482 μB/atom
Mass density = 7.89 Mg/m³
Fermi-level density of states = 4.90 states/eV/f.u.
Space group = Imm2

---

#iii
First-principles (PBE) data for a relaxed structure of IrRuBr2, as listed in Alexandria. Values from VASP.

```
&SYSTEM
  ibrav = 0, nat = 8, ntyp = 3
/
ATOMIC_SPECIES
Ru 101.07 Ru.upf
Ir 192.22 Ir.upf
Br 79.90 Br.upf
ATOMIC_POSITIONS angstrom
Ru 2.6681 -2.2402 -2.8437
Ru 6.3717 -2.9810 -2.3411
Ir 0.0000 0.0000 0.0000
Ir 3.1223 -6.0202 -2.9956
Br 1.4184 -4.3066 -2.3569
Br 4.6626 -1.3141 -1.7333
Br 5.1456 -5.0672 -1.8795
Br 7.7613 -7.3145 -4.7038
CELL_PARAMETERS angstrom
-0.5813 -5.2794 -3.4982
5.9175 0.7990 -2.1892
4.1577 -4.5208 0.3506
```

Total moment = 0.000 μB/atom
Mass density = 8.86 Mg/m³
Fermi-level density of states = 4.39 states/eV/f.u.
Space group = I-42d

---

#iv
First-principles (PBE) data for a relaxed structure of IrRuBr2, as listed in Alexandria. Values from VASP.

```
&SYSTEM
  ibrav = 0, nat = 4, ntyp = 3
/
ATOMIC_SPECIES
Ru 101.07 Ru.upf
Ir 192.22 Ir.upf
Br 79.90 Br.upf
ATOMIC_POSITIONS angstrom
Ru 0.0000 1.8092 2.0349
Ir 1.5677 4.5244 2.0333
Br 0.0000 0.0000 0.0000
Br 1.5677 2.7152 -0.0017
CELL_PARAMETERS angstrom
3.1354 0.0000 0.0000
0.0000 5.4303 -0.0033
0.0000 3.6184 4.0699
```

Total moment = 0.000 μB/atom
Mass density = 10.85 Mg/m³
Fermi-level density of states = 4.23 states/eV/f.u.
Space group = P2/m

---

Which structure is most stable? #i, by 210 meV/atom over the runner-up.

---

#i
First-principles (PBE) data for a relaxed structure of IrRuBr2, as listed in Alexandria. Values from VASP.

```
&SYSTEM
  ibrav = 0, nat = 4, ntyp = 3
/
ATOMIC_SPECIES
Ru 101.07 Ru.upf
Ir 192.22 Ir.upf
Br 79.90 Br.upf
ATOMIC_POSITIONS angstrom
Ru 2.3214 -10.5357 2.3392
Ir 0.7738 -3.5119 0.7797
Br 3.4585 -2.1390 2.7437
Br 1.7586 -5.5553 1.6394
CELL_PARAMETERS angstrom
-1.2288 -6.6208 1.3873
0.6544 -6.7564 -1.0921
3.6696 -0.6705 2.8237
```

Total moment = 0.000 μB/atom
Mass density = 7.76 Mg/m³
Fermi-level density of states = 4.77 states/eV/f.u.
Space group = C2/m

---

#ii
First-principles (PBE) data for a relaxed structure of IrRuBr2, as listed in Alexandria. Values from VASP.

```
&SYSTEM
  ibrav = 0, nat = 4, ntyp = 3
/
ATOMIC_SPECIES
Ru 101.07 Ru.upf
Ir 192.22 Ir.upf
Br 79.90 Br.upf
ATOMIC_POSITIONS angstrom
Ru 0.6961 1.3061 6.5821
Ir 0.6961 1.3061 2.1940
Br 0.0000 0.0000 8.7004
Br 0.0000 0.0000 4.4637
CELL_PARAMETERS angstrom
3.1452 0.0010 0.0000
-1.7530 2.6113 0.0000
0.0000 0.0000 8.7761
```

Total moment = 0.000 μB/atom
Mass density = 10.44 Mg/m³
Fermi-level density of states = 5.47 states/eV/f.u.
Space group = Cmmm

---

Which structure is most stable? #i, by 488 meV/atom over the runner-up.

---

#i
First-principles (PBE) data for a relaxed structure of IrRuBr2, as listed in Alexandria. Values from VASP.

```
&SYSTEM
  ibrav = 0, nat = 4, ntyp = 3
/
ATOMIC_SPECIES
Ru 101.07 Ru.upf
Ir 192.22 Ir.upf
Br 79.90 Br.upf
ATOMIC_POSITIONS angstrom
Ru 2.1888 2.0709 3.9247
Ir 2.1888 0.6903 1.3082
Br 0.0000 2.7385 5.2244
Br 0.0000 1.4033 2.6249
CELL_PARAMETERS angstrom
4.3776 0.0000 0.0000
0.0000 3.1419 0.0050
0.0000 -0.3808 5.2279
```

Total moment = 0.000 μB/atom
Mass density = 10.46 Mg/m³
Fermi-level density of states = 4.09 states/eV/f.u.
Space group = P2/m

---

#ii
First-principles (PBE) data for a relaxed structure of IrRuBr2, as listed in Alexandria. Values from VASP.

```
&SYSTEM
  ibrav = 0, nat = 4, ntyp = 3
/
ATOMIC_SPECIES
Ru 101.07 Ru.upf
Ir 192.22 Ir.upf
Br 79.90 Br.upf
ATOMIC_POSITIONS angstrom
Ru 2.8665 0.3808 1.3285
Ir 4.2122 2.9402 0.0000
Br 0.0000 0.0000 0.0000
Br 1.3457 2.5595 1.3285
CELL_PARAMETERS angstrom
5.7330 0.7616 0.0000
2.6914 5.1189 0.0000
-4.2122 -2.9402 2.6570
```

Total moment = 0.345 μB/atom
Mass density = 10.37 Mg/m³
Fermi-level density of states = 5.80 states/eV/f.u.
Space group = I-4m2

---

#iii
First-principles (PBE) data for a relaxed structure of IrRuBr2, as listed in Alexandria. Values from VASP.

```
&SYSTEM
  ibrav = 0, nat = 4, ntyp = 3
/
ATOMIC_SPECIES
Ru 101.07 Ru.upf
Ir 192.22 Ir.upf
Br 79.90 Br.upf
ATOMIC_POSITIONS angstrom
Ru 1.8158 -4.6287 4.5233
Ir 2.6526 -2.8537 2.7520
Br 4.1760 -5.4591 4.4190
Br 0.2708 -2.0121 2.8350
CELL_PARAMETERS angstrom
-2.3858 0.2265 2.5345
-0.9905 -2.7308 -0.6884
5.5109 -3.3412 5.4863
```

Total moment = 0.000 μB/atom
Mass density = 8.54 Mg/m³
Fermi-level density of states = 2.79 states/eV/f.u.
Space group = Pm

---

Which structure is most stable? #iii, by 776 meV/atom over the runner-up.